Entry from Alexandria via LeMat-Bulk: a relaxed structure of Sm2Re2Si2C (PBE).

Summary:
- VASP energy (eV for the cell shown) = -58.546
- symmetry = No. 12

a b c (Å): 5.8888 5.8888 7.0919
angles (deg): 54.98 54.98 40.05
Sites, in units of the cell vectors:
Sm 0.4276 0.4276 0.3017
Sm 0.5724 0.5724 0.6983
Re 0.7945 0.7945 0.0886
Re 0.2055 0.2055 0.9114
Si 0.8554 0.8554 0.6890
Si 0.1446 0.1446 0.3110
C 0.0000 0.0000 0.0000

Entry from Alexandria via LeMat-Bulk: a relaxed structure of ReSiSn2C (PBE).

Summary:
- VASP energy (eV for the cell shown) = -27.330
- symmetry = No. 123

a b c (Å): 5.4219 3.2902 5.4219
angles (deg): 90.00 90.00 90.00
Sites, in units of the cell vectors:
C 0.0000 0.5000 0.0000
Re 0.5000 0.5000 0.5000
Si 0.0000 0.0000 0.0000
Sn 0.0000 0.0000 0.5000
Sn 0.5000 0.0000 0.0000

Entry from Alexandria via LeMat-Bulk: a relaxed structure of Tb2Re2Si2C (PBE).

Summary:
- VASP energy (eV for the cell shown) = -58.572
- symmetry = No. 12

a b c (Å): 5.8331 5.8331 6.9772
angles (deg): 55.25 55.25 39.98
Sites, in units of the cell vectors:
Tb 0.4276 0.4276 0.2999
Tb 0.5724 0.5724 0.7001
Re 0.7933 0.7933 0.0909
Re 0.2067 0.2067 0.9091
Si 0.8582 0.8582 0.6818
Si 0.1418 0.1418 0.3182
C 0.0000 0.0000 0.0000

Entry from Alexandria via LeMat-Bulk: a relaxed structure of ThRe2SiC (PBE).

Summary:
- VASP energy (eV for the cell shown) = -98.606
- symmetry = No. 63

a b c (Å): 5.9073 5.9073 7.3326
angles (deg): 90.00 90.00 140.09
Sites, in units of the cell vectors:
Th 0.5456 0.4544 0.2500
Th 0.4544 0.5456 0.7500
Re 0.8274 0.1726 0.0624
Re 0.1726 0.8274 0.9376
Re 0.1726 0.8274 0.5624
Re 0.8274 0.1726 0.4376
Si 0.2659 0.7341 0.2500
Si 0.7341 0.2659 0.7500
C 0.0000 0.0000 0.0000
C 0.0000 0.0000 0.5000